1.
First-principles (PBE) data for a relaxed structure of RhPb2F8, as listed in Alexandria.

Lattice parameters (Å, degrees): 6.4846 6.4846 4.8354 105.25 105.25 72.68
Closest atoms and distances in Å follow each position.
Sites, in units of the cell vectors:
Rh (0.0000, 0.0000, 0.0000)  6 F 1.92-1.98
Pb (0.3432, 0.3432, 0.6555)  6 F 2.38-2.59
Pb (0.6568, 0.6568, 0.3445)  6 F 2.38-2.59
F (0.0570, 0.7011, 0.7510)  1 Rh 1.98
F (0.1159, 0.1159, 0.7632)  1 Rh 1.92
F (0.2989, 0.9430, 0.2490)  1 Rh 1.98
F (0.4164, 0.4164, 0.1927)  3 Pb 2.38-2.59
F (0.5836, 0.5836, 0.8073)  3 Pb 2.38-2.59
F (0.7011, 0.0570, 0.7510)  1 Rh 1.98
F (0.8841, 0.8841, 0.2368)  1 Rh 1.92
F (0.9430, 0.2989, 0.2490)  1 Rh 1.98



2.
First-principles (PBE) data for a relaxed structure of YMgCd5Ag2, as listed in Alexandria.

Lattice parameters (Å, degrees): 5.1125 5.1125 8.2150 90.00 90.00 90.00
Closest atoms and distances in Å follow each position.
Sites, in units of the cell vectors:
Y (0.0000, 0.0000, 0.0000)  8 Cd 3.21
Mg (0.0000, 0.0000, 0.5000)  8 Cd 3.35
Cd (0.0000, 0.5000, 0.2362)  2 Ag 2.70
Cd (0.0000, 0.5000, 0.7638)  2 Ag 2.70
Cd (0.5000, 0.0000, 0.2362)  2 Ag 2.70
Cd (0.5000, 0.0000, 0.7638)  2 Ag 2.70
Cd (0.5000, 0.5000, 0.0000)  2 Ag 2.82
Ag (0.5000, 0.5000, 0.3429)  1 Ag 2.58, 5 Cd 2.70-2.82
Ag (0.5000, 0.5000, 0.6571)  1 Ag 2.58, 5 Cd 2.70-2.82

ΔH_f (0 K) = 0.026 eV per atom



3.
First-principles (PBE) data for a relaxed structure of BaTcPt2, as listed in Alexandria.

Lattice parameters (Å, degrees): 3.3412 3.3412 7.6624 90.00 90.00 90.00
Closest atoms and distances in Å follow each position.
Sites, in units of the cell vectors:
Ba (0.0000, 0.0000, 0.0000)  4 Pt 3.31, 4 Ba 3.34, 4 Tc 3.55
Tc (0.5000, 0.5000, 0.6548)  5 Pt 2.63-2.70
Pt (0.0000, 0.0000, 0.5044)  4 Tc 2.63, 4 Pt 2.83
Pt (0.5000, 0.5000, 0.3020)  1 Tc 2.70, 4 Pt 2.83

ΔH_f (0 K) = 0.277 eV per atom



4.
First-principles (PBE) data for a relaxed structure of Pr4Dy2Tm2Sc, as listed in Alexandria.

Lattice parameters (Å, degrees): 8.0203 8.0203 7.9839 107.66 107.66 36.86
Closest atoms and distances in Å follow each position.
Sites, in units of the cell vectors:
Pr (0.0531, 0.0531, 0.3272)  2 Tm 3.51-3.55, 2 Sc 3.54, 4 Dy 3.56-3.65, 4 Pr 3.60-3.64
Pr (0.2784, 0.2784, 0.6715)  1 Sc 3.55, 3 Tm 3.55-3.56, 3 Dy 3.60-3.66, 5 Pr 3.60-3.64
Pr (0.7216, 0.7216, 0.3285)  1 Sc 3.55, 3 Tm 3.55-3.56, 3 Dy 3.60-3.66, 5 Pr 3.60-3.64
Pr (0.9469, 0.9469, 0.6728)  2 Tm 3.51-3.55, 2 Sc 3.54, 4 Dy 3.56-3.65, 4 Pr 3.60-3.64
Dy (0.3886, 0.3886, 0.3254)  1 Sc 3.53, 3 Tm 3.53-3.56, 7 Pr 3.56-3.66, 1 Dy 3.64
Dy (0.6114, 0.6114, 0.6746)  1 Sc 3.53, 3 Tm 3.53-3.56, 7 Pr 3.56-3.66, 1 Dy 3.64
Tm (0.1655, 0.1655, 0.9998)  5 Pr 3.51-3.56, 3 Dy 3.53-3.56, 2 Sc 3.57, 2 Tm 3.61
Tm (0.8345, 0.8345, 0.0002)  5 Pr 3.51-3.56, 3 Dy 3.53-3.56, 2 Sc 3.57, 2 Tm 3.61
Sc (0.5000, 0.5000, 0.0000)  2 Dy 3.53, 6 Pr 3.54-3.55, 4 Tm 3.57

ΔH_f (0 K) = 0.040 eV per atom



5.
First-principles (PBE) data for a relaxed structure of ThGaPd5, as listed in Alexandria.

Lattice parameters (Å, degrees): 4.1728 4.1728 7.2046 90.00 90.00 90.00
Closest atoms and distances in Å follow each position.
Sites, in units of the cell vectors:
Th (0.0000, 0.0000, 0.0000)  12 Pd 2.95-2.96
Ga (0.5000, 0.5000, 0.5000)  8 Pd 2.57
Pd (0.0000, 0.5000, 0.2917)  2 Ga 2.57
Pd (0.0000, 0.5000, 0.7083)  2 Ga 2.57
Pd (0.5000, 0.0000, 0.2917)  2 Ga 2.57
Pd (0.5000, 0.0000, 0.7083)  2 Ga 2.57
Pd (0.5000, 0.5000, 0.0000)  4 Th 2.95, 8 Pd 2.96

ΔH_f (0 K) = -0.784 eV per atom



6.
First-principles (PBE) data for a relaxed structure of LiMgZnPb, as listed in Alexandria.

Lattice parameters (Å, degrees): 4.8861 4.8861 4.8861 60.00 60.00 60.00
Closest atoms and distances in Å follow each position.
Sites, in units of the cell vectors:
Li (0.0000, 0.0000, 0.0000)  4 Pb 2.99, 4 Zn 2.99
Mg (0.5000, 0.5000, 0.5000)  4 Zn 2.99, 4 Pb 2.99
Zn (0.7500, 0.7500, 0.7500)  4 Li 2.99, 4 Mg 2.99
Pb (0.2500, 0.2500, 0.2500)  4 Mg 2.99, 4 Li 2.99

ΔH_f (0 K) = -0.096 eV per atom



7.
First-principles (PBE) data for a relaxed structure of RbTaFe2Bi, as listed in Alexandria.

Lattice parameters (Å, degrees): 5.1939 5.1939 5.4933 90.00 90.00 90.00
Closest atoms and distances in Å follow each position.
Sites, in units of the cell vectors:
Rb (0.0000, 0.0000, 0.0000)  4 Ta 3.67, 8 Fe 3.78
Ta (0.5000, 0.5000, 0.0000)  2 Bi 2.75
Fe (0.0000, 0.5000, 0.5000)  2 Bi 2.60
Fe (0.5000, 0.0000, 0.5000)  2 Bi 2.60
Bi (0.5000, 0.5000, 0.5000)  4 Fe 2.60, 2 Ta 2.75

ΔH_f (0 K) = 1.755 eV per atom



8.
First-principles (PBE) data for a relaxed structure of ZrCd5Hg6, as listed in Alexandria.

Lattice parameters (Å, degrees): 8.3613 8.3613 7.1609 90.00 90.00 146.39
Closest atoms and distances in Å follow each position.
Sites, in units of the cell vectors:
Zr (0.0000, 0.0000, 0.0000)  8 Hg 3.06-3.09
Cd (0.0000, 0.0000, 0.5000)  8 Hg 2.96-3.15
Cd (0.3137, 0.6863, 0.5000)  8 Hg 3.07-3.43, 2 Cd 3.16
Cd (0.3446, 0.6554, 0.0000)  6 Hg 2.98-3.12
Cd (0.6554, 0.3446, 0.0000)  6 Hg 2.98-3.12
Cd (0.6863, 0.3137, 0.5000)  8 Hg 3.07-3.43, 2 Cd 3.16
Hg (0.1596, 0.8404, 0.2422)  6 Cd 2.98-3.15, 1 Zr 3.09
Hg (0.1596, 0.8404, 0.7578)  6 Cd 2.98-3.15, 1 Zr 3.09
Hg (0.5000, 0.5000, 0.2626)  4 Cd 2.96-3.12, 2 Zr 3.06
Hg (0.5000, 0.5000, 0.7374)  4 Cd 2.96-3.12, 2 Zr 3.06
Hg (0.8404, 0.1596, 0.2422)  6 Cd 2.98-3.15, 1 Zr 3.09
Hg (0.8404, 0.1596, 0.7578)  6 Cd 2.98-3.15, 1 Zr 3.09

ΔH_f (0 K) = 0.019 eV per atom



Quick rundown of total DFT energy (no corrections), same order as above: -4.720; -2.012; -5.815; -4.804; -5.986; -2.219; -4.970; -1.225 eV/atom
Quick rundown of V, same order as above: 183.5; 214.7; 85.5; 291.9; 125.5; 82.5; 148.2; 277.1 Å³/f.u.